Material: MgTe2Br
Method: DFT, PBE
State: relaxed

Structure (POSCAR):
```
MgTe2Br
1.0
6.5764 0.0296 -0.0690
5.6168 3.4206 -0.0690
1.2623 0.3572 6.4135
Br Mg Te
1 1 2
Direct
0.6011 0.6011 0.4152
0.2138 0.2138 0.1847
0.9114 0.9114 0.0925
0.7737 0.7737 0.8076
```

Properties
Symmetry: Cm, No. 8
E above lowest polymorph (eV per atom): 0.056
E_form (uncorrected) (eV per atom): -0.572
Final energy (eV per atom): -2.9598